The following is a PBE+U calculation of a relaxed AcUCo2O8 crystal, from the Alexandria database.

Properties
Total magnetic moment: 5.1 μB/f.u.
Volume: 14.3 Å³/atom
E_tot: -89.55 eV for the cell shown

Cell: 6.0765 6.0765 6.0765 Å, 107.04 107.04 114.45°
Closest atoms and distances in Å follow each position.
Atoms (fractional coordinates):
Co  0.5000  0.5000  0.0000  4 O 1.75
O  0.3691  0.0769  0.2922  1 Co 1.88
O  0.9231  0.6309  0.7078  1 Co 1.88
O  0.3046  0.4679  0.1633  1 Co 1.75
O  0.3046  0.1412  0.8367  1 Co 1.75
O  0.5321  0.6954  0.8367  1 Co 1.75
Co  0.7500  0.2500  0.5000  4 O 1.88
Ac  0.2500  0.7500  0.5000  8 O 2.46-2.62
O  0.8588  0.6954  0.1633  1 Co 1.75
O  0.9231  0.2154  0.2922  1 Co 1.88
U  0.0000  0.0000  0.0000  8 O 2.17-2.33
O  0.7846  0.0769  0.7078  1 Co 1.88